1.
An optimized crystal structure of Ce2ZnNi12B3. Source: Alexandria, functional GGA-PBE.

Properties
The density of states at the Fermi level comes out at 9.82 states/eV per cell. The formation energy is -0.109 eV/atom.

Cell lengths 6.589, 6.589, 6.589 Å; angles 66.63, 66.63, 66.63 degrees
Element x y z (fractional)
Ni (0.277, 0.877, 0.277)
Ni (0.410, 0.857, 0.857)
B (0.500, 0.000, 0.000)
Ni (0.877, 0.277, 0.277)
Ni (0.143, 0.590, 0.143)
Ce (0.603, 0.603, 0.603)
Ni (0.857, 0.857, 0.410)
Zn (0.000, 0.000, 0.000)
B (0.000, 0.500, 0.000)
Ni (0.723, 0.123, 0.723)
Ni (0.723, 0.723, 0.123)
Ni (0.857, 0.410, 0.857)
Ni (0.143, 0.143, 0.590)
B (0.000, 0.000, 0.500)
Ni (0.123, 0.723, 0.723)
Ni (0.590, 0.143, 0.143)
Ce (0.397, 0.397, 0.397)
Ni (0.277, 0.277, 0.877)


2.
An optimized crystal structure of Ce4BO7. Source: Alexandria, functional GGA-PBE.

Properties
The calculation puts the raw formation energy at -2.8736 eV per atom. The density of states at the Fermi level comes out at 16.96 states/eV per cell.

Cell lengths 4.248, 6.719, 6.730 Å; angles 77.42, 71.60, 71.57 degrees
Element x y z (fractional)
Ce (0.269, 0.331, 0.130)
O (0.808, 0.844, 0.540)
O (0.941, 0.204, 0.915)
Ce (0.591, 0.208, 0.610)
O (0.359, 0.538, 0.745)
Ce (0.409, 0.792, 0.390)
O (0.641, 0.462, 0.255)
O (0.192, 0.156, 0.460)
Ce (0.731, 0.669, 0.870)
O (0.500, 0.000, 0.000)
O (0.059, 0.796, 0.085)
B (0.000, 0.000, 0.000)


3.
An optimized crystal structure of CeB3O6. Source: Alexandria, functional GGA-PBE.

Properties
The calculation puts the raw formation energy at -2.7012 eV per atom. The energy above the lowest structure with this stoichiometry is 0 meV per atom. The density of states at the Fermi level comes out at 16.71 states/eV per cell.

Cell lengths 6.456, 6.456, 6.525 Å; angles 62.14, 62.14, 78.77 degrees
Element x y z (fractional)
O (0.584, 0.212, 0.990)
O (0.788, 0.416, 0.510)
B (0.205, 0.341, 0.582)
O (0.211, 0.384, 0.999)
O (0.781, 0.009, 0.714)
Ce (0.202, 0.798, 0.750)
B (0.659, 0.795, 0.918)
O (0.616, 0.789, 0.501)
O (0.789, 0.616, 0.001)
B (0.795, 0.659, 0.418)
O (0.219, 0.991, 0.286)
Ce (0.798, 0.202, 0.250)
O (0.384, 0.211, 0.499)
O (0.991, 0.219, 0.786)
B (0.341, 0.205, 0.082)
O (0.212, 0.584, 0.490)
B (0.778, 0.222, 0.750)
O (0.009, 0.781, 0.214)
O (0.416, 0.788, 0.010)
B (0.222, 0.778, 0.250)


4.
An optimized crystal structure of Ce2BO5. Source: Alexandria, functional GGA-PBE.

Properties
The calculation puts the raw formation energy at -3.1378 eV per atom. The density of states at the Fermi level comes out at 36.86 states/eV per cell.

Cell lengths 6.716, 7.490, 8.624 Å; angles 90.00, 110.64, 90.00 degrees
Element x y z (fractional)
O (0.992, 0.123, 0.121)
O (0.749, 0.035, 0.634)
O (0.008, 0.877, 0.879)
Ce (0.263, 0.125, 0.005)
B (0.463, 0.562, 0.704)
O (0.538, 0.285, 0.400)
Ce (0.237, 0.625, 0.995)
Ce (0.388, 0.176, 0.593)
Ce (0.612, 0.824, 0.407)
Ce (0.888, 0.324, 0.593)
O (0.508, 0.623, 0.879)
O (0.371, 0.577, 0.284)
O (0.871, 0.923, 0.284)
O (0.951, 0.629, 0.105)
O (0.549, 0.129, 0.895)
O (0.629, 0.423, 0.716)
Ce (0.737, 0.875, 0.995)
O (0.462, 0.715, 0.600)
Ce (0.763, 0.375, 0.005)
B (0.037, 0.062, 0.296)
O (0.492, 0.377, 0.121)
O (0.038, 0.215, 0.400)
O (0.251, 0.965, 0.366)
O (0.962, 0.785, 0.600)
B (0.537, 0.438, 0.296)
O (0.751, 0.535, 0.366)
O (0.129, 0.077, 0.716)
B (0.963, 0.938, 0.704)
O (0.049, 0.371, 0.895)
O (0.451, 0.871, 0.105)
O (0.249, 0.465, 0.634)
Ce (0.112, 0.676, 0.407)


5.
An optimized crystal structure of CeB2O4. Source: Alexandria, functional GGA-PBE.

Properties
The calculation puts the raw formation energy at -1.8795 eV per atom. The density of states at the Fermi level comes out at 1.64 states/eV per cell.

Cell lengths 2.765, 2.765, 10.770 Å; angles 82.65, 82.65, 60.51 degrees
Element x y z (fractional)
B (0.769, 0.769, 0.705)
B (0.231, 0.231, 0.295)
O (0.888, 0.888, 0.344)
O (0.721, 0.721, 0.834)
O (0.279, 0.279, 0.166)
Ce (0.000, 0.000, 0.000)
O (0.112, 0.112, 0.656)


6.
An optimized crystal structure of CeB3O6. Source: Alexandria, functional GGA-PBE.

Properties
The calculation puts the raw formation energy at -2.6900 eV per atom. The energy above the lowest structure with this stoichiometry is 11 meV per atom. The density of states at the Fermi level comes out at 27.07 states/eV per cell.

Cell lengths 11.812, 4.264, 7.304 Å; angles 88.64, 90.00, 90.00 degrees
Element x y z (fractional)
O (0.091, 0.252, 0.563)
O (0.628, 0.847, 0.609)
O (0.331, 0.668, 0.238)
O (0.409, 0.252, 0.063)
O (0.831, 0.332, 0.262)
O (0.523, 0.798, 0.317)
B (0.833, 0.676, 0.287)
B (0.594, 0.194, 0.625)
B (0.406, 0.806, 0.375)
O (0.909, 0.748, 0.437)
O (0.977, 0.798, 0.817)
O (0.215, 0.219, 0.196)
O (0.169, 0.668, 0.738)
B (0.379, 0.311, 0.575)
B (0.667, 0.676, 0.787)
Ce (0.380, 0.787, 0.882)
O (0.285, 0.219, 0.696)
O (0.785, 0.781, 0.804)
B (0.879, 0.689, 0.925)
B (0.167, 0.324, 0.713)
B (0.621, 0.689, 0.425)
Ce (0.120, 0.787, 0.382)
Ce (0.880, 0.213, 0.618)
O (0.619, 0.350, 0.450)
Ce (0.620, 0.213, 0.118)
O (0.381, 0.650, 0.550)
O (0.119, 0.650, 0.050)
O (0.477, 0.202, 0.683)
O (0.372, 0.153, 0.391)
O (0.023, 0.202, 0.183)
O (0.872, 0.847, 0.109)
O (0.591, 0.748, 0.937)
O (0.715, 0.781, 0.304)
B (0.906, 0.194, 0.125)
O (0.881, 0.350, 0.950)
O (0.128, 0.153, 0.891)
B (0.333, 0.324, 0.213)
B (0.121, 0.311, 0.075)
B (0.094, 0.806, 0.875)
O (0.669, 0.332, 0.762)


7.
An optimized crystal structure of CeB3O6. Source: Alexandria, functional GGA-PBE.

Properties
The calculation puts the raw formation energy at -2.6889 eV per atom. The energy above the lowest structure with this stoichiometry is 12 meV per atom. The density of states at the Fermi level comes out at 30.28 states/eV per cell.

Cell lengths 4.324, 4.511, 18.620 Å; angles 90.00, 90.00, 90.00 degrees
Element x y z (fractional)
Ce (0.372, 0.814, 0.660)
B (0.865, 0.362, 0.713)
Ce (0.872, 0.814, 0.840)
O (0.683, 0.252, 0.776)
B (0.841, 0.326, 0.574)
O (0.668, 0.873, 0.017)
O (0.673, 0.736, 0.432)
B (0.341, 0.326, 0.926)
O (0.232, 0.240, 0.855)
O (0.267, 0.637, 0.940)
B (0.865, 0.638, 0.213)
B (0.365, 0.638, 0.287)
O (0.732, 0.760, 0.145)
O (0.767, 0.637, 0.560)
B (0.841, 0.674, 0.074)
O (0.673, 0.264, 0.932)
B (0.341, 0.674, 0.426)
O (0.668, 0.127, 0.517)
O (0.364, 0.317, 0.291)
O (0.183, 0.252, 0.724)
O (0.864, 0.317, 0.209)
B (0.314, 0.824, 0.002)
B (0.365, 0.362, 0.787)
O (0.364, 0.683, 0.791)
O (0.183, 0.748, 0.224)
O (0.173, 0.736, 0.068)
Ce (0.372, 0.186, 0.160)
O (0.173, 0.264, 0.568)
O (0.168, 0.873, 0.483)
O (0.732, 0.240, 0.645)
O (0.267, 0.363, 0.440)
O (0.767, 0.363, 0.060)
O (0.864, 0.683, 0.709)
O (0.168, 0.127, 0.983)
O (0.232, 0.760, 0.355)
O (0.683, 0.748, 0.276)
Ce (0.872, 0.186, 0.340)
B (0.814, 0.176, 0.998)
B (0.814, 0.824, 0.498)
B (0.314, 0.176, 0.502)


8.
An optimized crystal structure of Ce2B8O15. Source: Alexandria, functional GGA-PBE.

Properties
The calculation puts the raw formation energy at -2.6300 eV per atom. The density of states at the Fermi level comes out at 29.69 states/eV per cell.

Cell lengths 4.243, 9.222, 11.802 Å; angles 107.58, 90.00, 90.00 degrees
Element x y z (fractional)
B (0.783, 0.531, 0.126)
O (0.122, 0.911, 0.339)
O (0.772, 0.335, 0.623)
B (0.708, 0.328, 0.914)
O (0.878, 0.089, 0.661)
B (0.785, 0.403, 0.295)
O (0.350, 0.750, 0.750)
O (0.122, 0.589, 0.161)
B (0.215, 0.597, 0.705)
O (0.121, 0.095, 0.236)
B (0.269, 0.951, 0.235)
O (0.382, 0.011, 0.735)
O (0.382, 0.489, 0.765)
O (0.628, 0.645, 0.089)
O (0.813, 0.122, 0.460)
O (0.228, 0.835, 0.123)
O (0.650, 0.250, 0.250)
O (0.260, 0.951, 0.921)
O (0.879, 0.595, 0.736)
O (0.260, 0.549, 0.579)
Ce (0.735, 0.694, 0.552)
B (0.217, 0.031, 0.626)
O (0.187, 0.878, 0.540)
O (0.878, 0.411, 0.839)
O (0.372, 0.355, 0.911)
O (0.740, 0.049, 0.079)
B (0.708, 0.172, 0.586)
B (0.217, 0.469, 0.874)
O (0.228, 0.665, 0.377)
O (0.628, 0.855, 0.411)
B (0.785, 0.097, 0.205)
B (0.783, 0.969, 0.374)
O (0.813, 0.378, 0.040)
Ce (0.735, 0.806, 0.948)
O (0.740, 0.451, 0.421)
O (0.121, 0.405, 0.264)
B (0.731, 0.049, 0.765)
B (0.215, 0.903, 0.795)
O (0.772, 0.165, 0.877)
Ce (0.265, 0.194, 0.052)
O (0.618, 0.511, 0.235)
B (0.292, 0.672, 0.086)
B (0.292, 0.828, 0.414)
O (0.879, 0.905, 0.764)
B (0.269, 0.549, 0.265)
Ce (0.265, 0.306, 0.448)
O (0.372, 0.145, 0.589)
O (0.187, 0.622, 0.960)
B (0.731, 0.451, 0.735)
O (0.618, 0.989, 0.265)


9.
An optimized crystal structure of CeBO4. Source: Alexandria, functional GGA-PBE.

Properties
The calculation puts the raw formation energy at -2.4751 eV per atom. The density of states at the Fermi level comes out at 2.62 states/eV per cell.

Cell lengths 5.413, 4.309, 5.414 Å; angles 90.00, 90.00, 90.00 degrees
Element x y z (fractional)
O (0.151, 0.784, 0.599)
O (0.151, 0.216, 0.901)
B (0.500, 0.000, 0.250)
Ce (0.000, 0.500, 0.250)
O (0.651, 0.216, 0.099)
O (0.651, 0.784, 0.401)
O (0.849, 0.784, 0.901)
O (0.349, 0.784, 0.099)
O (0.349, 0.216, 0.401)
O (0.849, 0.216, 0.599)
Ce (0.500, 0.500, 0.750)
B (0.000, 0.000, 0.750)


10.
An optimized crystal structure of CeBO2. Source: Alexandria, functional GGA-PBE.

Properties
The calculation puts the raw formation energy at -0.9030 eV per atom. The density of states at the Fermi level comes out at 2.37 states/eV per cell.

Cell lengths 2.712, 2.712, 6.754 Å; angles 78.42, 78.42, 60.00 degrees
Element x y z (fractional)
O (0.123, 0.123, 0.632)
O (0.877, 0.877, 0.368)
Ce (0.000, 0.000, 0.000)
B (0.500, 0.500, 0.500)


11.
An optimized crystal structure of CeB4O7. Source: Alexandria, functional GGA-PBE.

Properties
The calculation puts the raw formation energy at -2.4040 eV per atom. The density of states at the Fermi level comes out at 17.76 states/eV per cell.

Cell lengths 4.283, 4.486, 10.936 Å; angles 90.00, 90.00, 90.00 degrees
Element x y z (fractional)
B (0.097, 0.327, 0.379)
Ce (0.570, 0.777, 0.500)
B (0.571, 0.175, 0.252)
O (0.929, 0.736, 0.865)
O (0.424, 0.872, 0.781)
O (0.483, 0.762, 0.000)
O (0.924, 0.128, 0.281)
B (0.597, 0.673, 0.879)
O (0.924, 0.128, 0.719)
O (0.429, 0.264, 0.635)
Ce (0.070, 0.223, 0.000)
B (0.097, 0.327, 0.621)
O (0.029, 0.640, 0.355)
O (0.983, 0.238, 0.500)
B (0.071, 0.825, 0.248)
O (0.429, 0.264, 0.365)
B (0.597, 0.673, 0.121)
O (0.929, 0.736, 0.135)
O (0.529, 0.360, 0.855)
O (0.029, 0.640, 0.645)
O (0.424, 0.872, 0.219)
B (0.071, 0.825, 0.752)
B (0.571, 0.175, 0.748)
O (0.529, 0.360, 0.145)


12.
An optimized crystal structure of CePaB2O8. Source: Alexandria, functional GGA-PBE.

Properties
The calculation puts the raw formation energy at -2.6870 eV per atom. The density of states at the Fermi level comes out at 6.26 states/eV per cell.

Cell lengths 4.677, 4.677, 6.554 Å; angles 110.90, 110.90, 90.00 degrees
Element x y z (fractional)
O (0.676, 0.305, 0.865)
O (0.081, 0.938, 0.644)
B (0.500, 0.500, 0.000)
O (0.062, 0.437, 0.356)
O (0.294, 0.919, 0.356)
Pa (0.000, 0.000, 0.000)
Ce (0.750, 0.250, 0.500)
O (0.440, 0.324, 0.135)
O (0.695, 0.810, 0.135)
O (0.563, 0.706, 0.644)
B (0.250, 0.750, 0.500)
O (0.190, 0.560, 0.865)